Compound: Zn2TeAsHO7
Source: the Open Quantum Materials Database
Functional: PBE
Structure: relaxed

Values from the calculation:
The calculated total energy comes out at -5.267 eV/atom.

Cell and atoms, written as CIF:
```
data_Zn2TeAsHO7
_space_group_name_H-M_alt 'C 1 m 1'
_space_group_IT_number 8
_cell_length_a 6.892
_cell_length_b 7.668
_cell_length_c 5.701
_cell_angle_alpha 90.00
_cell_angle_beta 100.62
_cell_angle_gamma 90.00
loop_
_space_group_symop_operation_xyz
'x,y,z'
'x,-y,z'
'x+1/2,y+1/2,z'
'x+1/2,-y+1/2,z'
loop_
_atom_site_label
_atom_site_fract_x
_atom_site_fract_y
_atom_site_fract_z
Zn1 0.000 0.237 0.000
Te1 0.241 0.000 0.631
As1 0.273 0.500 0.337
H1 0.147 0.500 0.747
O1 0.033 0.500 0.827
O2 0.135 0.314 0.325
O3 0.231 0.184 0.852
O4 0.426 0.500 0.128
O5 0.430 0.500 0.615
```

---

Compound: ZnAs4H8O16
Source: the Open Quantum Materials Database
Functional: PBE
Structure: relaxed

Values from the calculation:
The calculated total energy comes out at -5.285 eV/atom.

Cell and atoms, written as CIF:
```
data_ZnAs4H8O16
_space_group_name_H-M_alt 'P -1'
_space_group_IT_number 2
_cell_length_a 5.309
_cell_length_b 7.360
_cell_length_c 7.708
_cell_angle_alpha 97.84
_cell_angle_beta 98.34
_cell_angle_gamma 92.51
loop_
_space_group_symop_operation_xyz
'x,y,z'
'-x,-y,-z'
loop_
_atom_site_label
_atom_site_fract_x
_atom_site_fract_y
_atom_site_fract_z
Zn1 0.000 0.000 0.000
As1 0.072 0.292 0.732
As2 0.428 0.809 0.791
H1 0.001 0.596 0.817
H2 0.245 0.316 0.480
H3 0.381 0.460 0.294
H4 0.388 0.952 0.311
O1 0.075 0.275 0.503
O2 0.098 0.897 0.237
O3 0.117 0.524 0.213
O4 0.148 0.776 0.862
O5 0.327 0.153 0.033
O6 0.373 0.351 0.843
O7 0.431 0.985 0.664
O8 0.488 0.617 0.643
```

---

Compound: Zn2AsHO5
Source: the Open Quantum Materials Database
Functional: PBE
Structure: relaxed

Values from the calculation:
The calculated total energy comes out at -5.239 eV/atom.

Cell and atoms, written as CIF:
```
data_Zn2AsHO5
_space_group_name_H-M_alt 'P n n m'
_space_group_IT_number 58
_cell_length_a 8.243
_cell_length_b 8.537
_cell_length_c 6.071
_cell_angle_alpha 90.00
_cell_angle_beta 90.00
_cell_angle_gamma 90.00
loop_
_space_group_symop_operation_xyz
'x,y,z'
'-x,-y,-z'
'-x,-y,z'
'x,y,-z'
'x+1/2,-y+1/2,-z+1/2'
'-x+1/2,y+1/2,z+1/2'
'-x+1/2,y+1/2,-z+1/2'
'x+1/2,-y+1/2,z+1/2'
loop_
_atom_site_label
_atom_site_fract_x
_atom_site_fract_y
_atom_site_fract_z
Zn1 0.000 0.000 0.247
Zn2 0.135 0.364 0.000
As1 0.247 0.248 0.500
H1 0.220 0.083 0.000
O1 0.063 0.153 0.500
O2 0.106 0.606 0.000
O3 0.112 0.129 0.000
O4 0.230 0.870 0.224
```

---

Compound: Zn3As2H16O16
Source: the Open Quantum Materials Database
Functional: PBE
Structure: relaxed

Values from the calculation:
The calculated total energy comes out at -5.086 eV/atom.

Cell and atoms, written as CIF:
```
data_Zn3As2H16O16
_space_group_name_H-M_alt 'C 1 2/m 1'
_space_group_IT_number 12
_cell_length_a 10.120
_cell_length_b 12.952
_cell_length_c 4.703
_cell_angle_alpha 90.00
_cell_angle_beta 105.11
_cell_angle_gamma 90.00
loop_
_space_group_symop_operation_xyz
'x,y,z'
'-x,-y,-z'
'-x,y,-z'
'x,-y,z'
'x+1/2,y+1/2,z'
'-x+1/2,-y+1/2,-z'
'-x+1/2,y+1/2,-z'
'x+1/2,-y+1/2,z'
loop_
_atom_site_label
_atom_site_fract_x
_atom_site_fract_y
_atom_site_fract_z
Zn1 0.000 0.000 0.000
Zn2 0.000 0.377 0.000
As1 0.185 0.500 0.625
H1 0.034 0.212 0.287
H2 0.122 0.084 0.638
H3 0.129 0.297 0.496
H4 0.188 0.135 0.954
O1 0.088 0.500 0.269
O2 0.098 0.121 0.807
O3 0.103 0.267 0.293
O4 0.145 0.000 0.392
O5 0.163 0.386 0.794
```

---

Compound: Zn2AsHO5
Source: the Open Quantum Materials Database
Functional: PBE
Structure: relaxed

Values from the calculation:
The calculated total energy comes out at -5.237 eV/atom.

Cell and atoms, written as CIF:
```
data_Zn2AsHO5
_space_group_name_H-M_alt 'P -1'
_space_group_IT_number 2
_cell_length_a 5.601
_cell_length_b 5.803
_cell_length_c 6.723
_cell_angle_alpha 76.81
_cell_angle_beta 74.81
_cell_angle_gamma 87.58
loop_
_space_group_symop_operation_xyz
'x,y,z'
'-x,-y,-z'
loop_
_atom_site_label
_atom_site_fract_x
_atom_site_fract_y
_atom_site_fract_z
Zn1 0.018 0.237 0.313
Zn2 0.392 0.749 0.002
As1 0.178 0.254 0.771
H1 0.426 0.409 0.317
O1 0.040 0.750 0.993
O2 0.053 0.112 0.623
O3 0.256 0.538 0.633
O4 0.351 0.397 0.202
O5 0.438 0.110 0.822
```

---

Compound: AsH6PbW
Source: the Open Quantum Materials Database
Functional: PBE
Structure: relaxed

Values from the calculation:
The calculated total energy comes out at -3.595 eV/atom. The total magnetization comes out at 0.10 μB per cell.

Cell and atoms, written as CIF:
```
data_AsH6PbW
_space_group_name_H-M_alt 'F -4 3 m'
_space_group_IT_number 216
_space_group_name_Hall 'F -4 2 3'
_cell_length_a 6.734
_cell_length_b 6.734
_cell_length_c 6.734
_cell_angle_alpha 90.00
_cell_angle_beta 90.00
_cell_angle_gamma 90.00
loop_
_atom_site_label
_atom_site_fract_x
_atom_site_fract_y
_atom_site_fract_z
As1 0.000 0.000 0.000
H1 0.000 0.000 0.347
Pb1 0.250 0.250 0.250
W1 0.250 0.250 0.750
```

---

Please write out number 5 again, unchanged.
Compound: Zn2AsHO5
Source: the Open Quantum Materials Database
Functional: PBE
Structure: relaxed

Values from the calculation:
The calculated total energy comes out at -5.237 eV/atom.

Cell and atoms, written as CIF:
```
data_Zn2AsHO5
_space_group_name_H-M_alt 'P -1'
_space_group_IT_number 2
_cell_length_a 5.601
_cell_length_b 5.803
_cell_length_c 6.723
_cell_angle_alpha 76.81
_cell_angle_beta 74.81
_cell_angle_gamma 87.58
loop_
_space_group_symop_operation_xyz
'x,y,z'
'-x,-y,-z'
loop_
_atom_site_label
_atom_site_fract_x
_atom_site_fract_y
_atom_site_fract_z
Zn1 0.018 0.237 0.313
Zn2 0.392 0.749 0.002
As1 0.178 0.254 0.771
H1 0.426 0.409 0.317
O1 0.040 0.750 0.993
O2 0.053 0.112 0.623
O3 0.256 0.538 0.633
O4 0.351 0.397 0.202
O5 0.438 0.110 0.822
```